No. 1
# Li2ErCd9 GGA-PBE relaxed
data_Li2ErCd9
_chemical_formula_sum 'Li2 Er1 Cd9'
_cell_length_a 4.4562
_cell_length_b 4.4562
_cell_length_c 13.1611
_cell_angle_alpha 90.00
_cell_angle_beta 90.00
_cell_angle_gamma 90.00
_space_group_name_H-M_alt 'P 1'
_space_group_IT_number 1
loop_
_space_group_symop_operation_xyz
'x,y,z'
loop_
_atom_site_label
_atom_site_type_symbol
_atom_site_fract_x
_atom_site_fract_y
_atom_site_fract_z
_atom_site_occupancy
Li1 Li 0.0000 0.0000 0.1631 1
Li2 Li 0.0000 0.0000 0.8369 1
Er1 Er 0.0000 0.0000 0.5000 1
Cd1 Cd 0.0000 0.5000 0.0000 1
Cd2 Cd 0.0000 0.5000 0.3217 1
Cd3 Cd 0.0000 0.5000 0.6783 1
Cd4 Cd 0.5000 0.0000 0.0000 1
Cd5 Cd 0.5000 0.0000 0.3217 1
Cd6 Cd 0.5000 0.0000 0.6783 1
Cd7 Cd 0.5000 0.5000 0.1585 1
Cd8 Cd 0.5000 0.5000 0.5000 1
Cd9 Cd 0.5000 0.5000 0.8415 1
# Space-group type: P4/mmm (123)
# E_form in eV per formula unit: -2.2
# Crystal system: tetragonal
# Total magnetic moment in μB/f.u.: 0.00
# Energy in eV/cell: -18.853

=====

No. 2
# LiEr2Cd GGA-PBE relaxed
data_LiEr2Cd
_chemical_formula_sum 'Li1 Er2 Cd1'
_cell_length_a 5.2160
_cell_length_b 5.2160
_cell_length_c 5.2160
_cell_angle_alpha 60.00
_cell_angle_beta 60.00
_cell_angle_gamma 60.00
_space_group_name_H-M_alt 'P 1'
_space_group_IT_number 1
loop_
_space_group_symop_operation_xyz
'x,y,z'
loop_
_atom_site_label
_atom_site_type_symbol
_atom_site_fract_x
_atom_site_fract_y
_atom_site_fract_z
_atom_site_occupancy
Li1 Li 0.0000 0.0000 0.0000 1
Er1 Er 0.2500 0.2500 0.2500 1
Er2 Er 0.7500 0.7500 0.7500 1
Cd1 Cd 0.5000 0.5000 0.5000 1
# Space-group type: Fm-3m (225)
# Excess energy over the best structure of this formula in the dataset in meV/atom: 5
# E_form in eV per formula unit: -0.4
# Crystal system: cubic
# Total magnetic moment in μB/f.u.: 0.00
# Energy in eV/cell: -12.396

=====

No. 3
# LiErCd2 GGA-PBE relaxed
data_LiErCd2
_chemical_formula_sum 'Li1 Er1 Cd2'
_cell_length_a 9.4770
_cell_length_b 9.4770
_cell_length_c 9.4770
_cell_angle_alpha 21.05
_cell_angle_beta 21.05
_cell_angle_gamma 21.05
_space_group_name_H-M_alt 'P 1'
_space_group_IT_number 1
loop_
_space_group_symop_operation_xyz
'x,y,z'
loop_
_atom_site_label
_atom_site_type_symbol
_atom_site_fract_x
_atom_site_fract_y
_atom_site_fract_z
_atom_site_occupancy
Li1 Li 0.0000 0.0000 0.0000 1
Er1 Er 0.5000 0.5000 0.5000 1
Cd1 Cd 0.2575 0.2575 0.2575 1
Cd2 Cd 0.7425 0.7425 0.7425 1
# Space-group type: R-3m (166)
# Excess energy over the best structure of this formula in the dataset in meV/atom: 151
# E_form in eV per formula unit: -0.4
# Crystal system: trigonal
# Total magnetic moment in μB/f.u.: 0.00
# Energy in eV/cell: -8.748

=====

No. 4
# LiErCd4 GGA-PBE relaxed
data_LiErCd4
_chemical_formula_sum 'Li1 Er1 Cd4'
_cell_length_a 3.1911
_cell_length_b 4.9753
_cell_length_c 8.6223
_cell_angle_alpha 90.00
_cell_angle_beta 90.46
_cell_angle_gamma 90.00
_space_group_name_H-M_alt 'P 1'
_space_group_IT_number 1
loop_
_space_group_symop_operation_xyz
'x,y,z'
loop_
_atom_site_label
_atom_site_type_symbol
_atom_site_fract_x
_atom_site_fract_y
_atom_site_fract_z
_atom_site_occupancy
Li1 Li 0.0000 0.0000 0.0000 1
Er1 Er 0.0000 0.5000 0.5000 1
Cd1 Cd 0.4895 0.5000 0.1620 1
Cd2 Cd 0.4965 0.0000 0.3282 1
Cd3 Cd 0.5035 0.0000 0.6718 1
Cd4 Cd 0.5105 0.5000 0.8380 1
# Space-group type: P2/m (10)
# Excess energy over the best structure of this formula in the dataset in meV/atom: 0
# E_form in eV per formula unit: -1.3
# Crystal system: monoclinic
# Total magnetic moment in μB/f.u.: 0.00
# Energy in eV/cell: -11.456

=====

No. 5
# LiErCd GGA-PBE relaxed
data_LiErCd
_chemical_formula_sum 'Li1 Er1 Cd1'
_cell_length_a 5.6226
_cell_length_b 5.6226
_cell_length_c 5.6226
_cell_angle_alpha 141.29
_cell_angle_beta 141.29
_cell_angle_gamma 55.90
_space_group_name_H-M_alt 'P 1'
_space_group_IT_number 1
loop_
_space_group_symop_operation_xyz
'x,y,z'
loop_
_atom_site_label
_atom_site_type_symbol
_atom_site_fract_x
_atom_site_fract_y
_atom_site_fract_z
_atom_site_occupancy
Li1 Li 0.0000 0.0000 0.0000 1
Er1 Er 0.3142 0.3142 0.0000 1
Cd1 Cd 0.6354 0.6354 0.0000 1
# Space-group type: I4mm (107)
# Excess energy over the best structure of this formula in the dataset in meV/atom: 52
# E_form in eV per formula unit: -0.4
# Crystal system: tetragonal
# Total magnetic moment in μB/f.u.: 0.11
# Energy in eV/cell: -7.766

=====

No. 6
# LiErCd17 GGA-PBE relaxed
data_LiErCd17
_chemical_formula_sum 'Li1 Er1 Cd17'
_cell_length_a 7.7036
_cell_length_b 7.7036
_cell_length_c 7.7036
_cell_angle_alpha 81.18
_cell_angle_beta 81.18
_cell_angle_gamma 81.18
_space_group_name_H-M_alt 'P 1'
_space_group_IT_number 1
loop_
_space_group_symop_operation_xyz
'x,y,z'
loop_
_atom_site_label
_atom_site_type_symbol
_atom_site_fract_x
_atom_site_fract_y
_atom_site_fract_z
_atom_site_occupancy
Li1 Li 0.0000 0.0000 0.0000 1
Er1 Er 0.3748 0.3748 0.3748 1
Cd1 Cd 0.0065 0.3876 0.6985 1
Cd2 Cd 0.0065 0.6985 0.3876 1
Cd3 Cd 0.0869 0.0869 0.4526 1
Cd4 Cd 0.0869 0.4526 0.0869 1
Cd5 Cd 0.1644 0.7250 0.7250 1
Cd6 Cd 0.3604 0.3604 0.8069 1
Cd7 Cd 0.3604 0.8069 0.3604 1
Cd8 Cd 0.3876 0.0065 0.6985 1
Cd9 Cd 0.3876 0.6985 0.0065 1
Cd10 Cd 0.4526 0.0869 0.0869 1
Cd11 Cd 0.5974 0.5974 0.5974 1
Cd12 Cd 0.6985 0.0065 0.3876 1
Cd13 Cd 0.6985 0.3876 0.0065 1
Cd14 Cd 0.7250 0.1644 0.7250 1
Cd15 Cd 0.7250 0.7250 0.1644 1
Cd16 Cd 0.7842 0.7842 0.7842 1
Cd17 Cd 0.8069 0.3604 0.3604 1
# Space-group type: R3m (160)
# E_form in eV per formula unit: -0.9
# Crystal system: trigonal
# Total magnetic moment in μB/f.u.: 0.00
# Energy in eV/cell: -22.909

=====

No. 7
# LiEr3Cd2 GGA-PBE relaxed
data_LiEr3Cd2
_chemical_formula_sum 'Li1 Er3 Cd2'
_cell_length_a 8.1972
_cell_length_b 8.1972
_cell_length_c 3.7687
_cell_angle_alpha 90.00
_cell_angle_beta 90.00
_cell_angle_gamma 143.15
_space_group_name_H-M_alt 'P 1'
_space_group_IT_number 1
loop_
_space_group_symop_operation_xyz
'x,y,z'
loop_
_atom_site_label
_atom_site_type_symbol
_atom_site_fract_x
_atom_site_fract_y
_atom_site_fract_z
_atom_site_occupancy
Li1 Li 0.0000 0.0000 0.0000 1
Er1 Er 0.1665 0.8335 0.5000 1
Er2 Er 0.5000 0.5000 0.5000 1
Er3 Er 0.8335 0.1665 0.5000 1
Cd1 Cd 0.3371 0.6629 0.0000 1
Cd2 Cd 0.6629 0.3371 0.0000 1
# Space-group type: Cmmm (65)
# Excess energy over the best structure of this formula in the dataset in meV/atom: 0
# E_form in eV per formula unit: -1.1
# Crystal system: orthorhombic
# Total magnetic moment in μB/f.u.: 0.00
# Energy in eV/cell: -18.489

=====

No. 8
# LiErCd4 GGA-PBE relaxed
data_LiErCd4
_chemical_formula_sum 'Li1 Er1 Cd4'
_cell_length_a 5.3563
_cell_length_b 5.3563
_cell_length_c 7.3693
_cell_angle_alpha 108.66
_cell_angle_beta 108.66
_cell_angle_gamma 42.64
_space_group_name_H-M_alt 'P 1'
_space_group_IT_number 1
loop_
_space_group_symop_operation_xyz
'x,y,z'
loop_
_atom_site_label
_atom_site_type_symbol
_atom_site_fract_x
_atom_site_fract_y
_atom_site_fract_z
_atom_site_occupancy
Li1 Li 0.0000 0.0000 0.0000 1
Er1 Er 0.0000 0.0000 0.5000 1
Cd1 Cd 0.3353 0.3353 0.1497 1
Cd2 Cd 0.3363 0.3363 0.6952 1
Cd3 Cd 0.6637 0.6637 0.3048 1
Cd4 Cd 0.6647 0.6647 0.8503 1
# Space-group type: C2/m (12)
# Excess energy over the best structure of this formula in the dataset in meV/atom: 29
# E_form in eV per formula unit: -1.1
# Crystal system: monoclinic
# Total magnetic moment in μB/f.u.: 0.00
# Energy in eV/cell: -11.284

=====

No. 9
# Li5ErCd4 GGA-PBE relaxed
data_Li5ErCd4
_chemical_formula_sum 'Li5 Er1 Cd4'
_cell_length_a 3.4462
_cell_length_b 3.4462
_cell_length_c 16.5940
_cell_angle_alpha 90.00
_cell_angle_beta 90.00
_cell_angle_gamma 90.00
_space_group_name_H-M_alt 'P 1'
_space_group_IT_number 1
loop_
_space_group_symop_operation_xyz
'x,y,z'
loop_
_atom_site_label
_atom_site_type_symbol
_atom_site_fract_x
_atom_site_fract_y
_atom_site_fract_z
_atom_site_occupancy
Li1 Li 0.0000 0.0000 0.0000 1
Li2 Li 0.0000 0.0000 0.1908 1
Li3 Li 0.0000 0.0000 0.3724 1
Li4 Li 0.0000 0.0000 0.6276 1
Li5 Li 0.0000 0.0000 0.8092 1
Er1 Er 0.5000 0.5000 0.5000 1
Cd1 Cd 0.5000 0.5000 0.0967 1
Cd2 Cd 0.5000 0.5000 0.2909 1
Cd3 Cd 0.5000 0.5000 0.7091 1
Cd4 Cd 0.5000 0.5000 0.9033 1
# Space-group type: P4/mmm (123)
# E_form in eV per formula unit: -1.6
# Crystal system: tetragonal
# Total magnetic moment in μB/f.u.: 0.00
# Energy in eV/cell: -19.432

=====

No. 10
# LiErCd2 GGA-PBE relaxed
data_LiErCd2
_chemical_formula_sum 'Li1 Er1 Cd2'
_cell_length_a 5.2274
_cell_length_b 5.2274
_cell_length_c 3.4353
_cell_angle_alpha 90.00
_cell_angle_beta 90.00
_cell_angle_gamma 90.00
_space_group_name_H-M_alt 'P 1'
_space_group_IT_number 1
loop_
_space_group_symop_operation_xyz
'x,y,z'
loop_
_atom_site_label
_atom_site_type_symbol
_atom_site_fract_x
_atom_site_fract_y
_atom_site_fract_z
_atom_site_occupancy
Li1 Li 0.0000 0.0000 0.0000 1
Er1 Er 0.5000 0.5000 0.0000 1
Cd1 Cd 0.0000 0.5000 0.5000 1
Cd2 Cd 0.5000 0.0000 0.5000 1
# Space-group type: P4/mmm (123)
# Excess energy over the best structure of this formula in the dataset in meV/atom: 33
# E_form in eV per formula unit: -0.9
# Crystal system: tetragonal
# Total magnetic moment in μB/f.u.: 0.00
# Energy in eV/cell: -9.220

=====

No. 11
# Li2ErCd8 GGA-PBE relaxed
data_Li2ErCd8
_chemical_formula_sum 'Li2 Er1 Cd8'
_cell_length_a 8.0465
_cell_length_b 8.0465
_cell_length_c 6.9157
_cell_angle_alpha 104.59
_cell_angle_beta 104.59
_cell_angle_gamma 33.54
_space_group_name_H-M_alt 'P 1'
_space_group_IT_number 1
loop_
_space_group_symop_operation_xyz
'x,y,z'
loop_
_atom_site_label
_atom_site_type_symbol
_atom_site_fract_x
_atom_site_fract_y
_atom_site_fract_z
_atom_site_occupancy
Li1 Li 0.2389 0.2389 0.1520 1
Li2 Li 0.7611 0.7611 0.8480 1
Er1 Er 0.5000 0.5000 0.5000 1
Cd1 Cd 0.0535 0.0535 0.2322 1
Cd2 Cd 0.1379 0.1379 0.7134 1
Cd3 Cd 0.3099 0.3099 0.5964 1
Cd4 Cd 0.4030 0.4030 0.0263 1
Cd5 Cd 0.5970 0.5970 0.9737 1
Cd6 Cd 0.6901 0.6901 0.4036 1
Cd7 Cd 0.8621 0.8621 0.2866 1
Cd8 Cd 0.9465 0.9465 0.7678 1
# Space-group type: C2/m (12)
# E_form in eV per formula unit: -1.9
# Crystal system: monoclinic
# Total magnetic moment in μB/f.u.: 0.00
# Energy in eV/cell: -17.648

=====

No. 12
# Li3ErCd2 GGA-PBE relaxed
data_Li3ErCd2
_chemical_formula_sum 'Li6 Er2 Cd4'
_cell_length_a 8.2798
_cell_length_b 8.2798
_cell_length_c 8.2909
_cell_angle_alpha 119.87
_cell_angle_beta 119.87
_cell_angle_gamma 31.05
_space_group_name_H-M_alt 'P 1'
_space_group_IT_number 1
loop_
_space_group_symop_operation_xyz
'x,y,z'
loop_
_atom_site_label
_atom_site_type_symbol
_atom_site_fract_x
_atom_site_fract_y
_atom_site_fract_z
_atom_site_occupancy
Li1 Li 0.0798 0.0798 0.2024 1
Li2 Li 0.2437 0.2437 0.5889 1
Li3 Li 0.4006 0.4006 0.9892 1
Li4 Li 0.5994 0.5994 0.0108 1
Li5 Li 0.7563 0.7563 0.4111 1
Li6 Li 0.9202 0.9202 0.7976 1
Er1 Er 0.0932 0.0932 0.7216 1
Er2 Er 0.9068 0.9068 0.2784 1
Cd1 Cd 0.2414 0.2414 0.1491 1
Cd2 Cd 0.4219 0.4219 0.5750 1
Cd3 Cd 0.5781 0.5781 0.4250 1
Cd4 Cd 0.7586 0.7586 0.8509 1
# Space-group type: C2/m (12)
# E_form in eV per formula unit: -1.0
# Crystal system: monoclinic
# Total magnetic moment in μB/f.u.: 0.00
# Energy in eV/cell: -26.189

=====

What did the eighth record say?
# LiErCd4 GGA-PBE relaxed
data_LiErCd4
_chemical_formula_sum 'Li1 Er1 Cd4'
_cell_length_a 5.3563
_cell_length_b 5.3563
_cell_length_c 7.3693
_cell_angle_alpha 108.66
_cell_angle_beta 108.66
_cell_angle_gamma 42.64
_space_group_name_H-M_alt 'P 1'
_space_group_IT_number 1
loop_
_space_group_symop_operation_xyz
'x,y,z'
loop_
_atom_site_label
_atom_site_type_symbol
_atom_site_fract_x
_atom_site_fract_y
_atom_site_fract_z
_atom_site_occupancy
Li1 Li 0.0000 0.0000 0.0000 1
Er1 Er 0.0000 0.0000 0.5000 1
Cd1 Cd 0.3353 0.3353 0.1497 1
Cd2 Cd 0.3363 0.3363 0.6952 1
Cd3 Cd 0.6637 0.6637 0.3048 1
Cd4 Cd 0.6647 0.6647 0.8503 1
# Space-group type: C2/m (12)
# Excess energy over the best structure of this formula in the dataset in meV/atom: 29
# E_form in eV per formula unit: -1.1
# Crystal system: monoclinic
# Total magnetic moment in μB/f.u.: 0.00
# Energy in eV/cell: -11.284

=====

Which of these has the highest total magnetic moment? LiErCd

=====

What is the formula in the ninth record? Li5ErCd4

=====

Among the records above, which one has the lowest energy? Li3ErCd2